Entry 1:
PBE ErNpRe4, optimized geometry; calculated volume = 18.60 Å³/atom; SG = F-43m
1.0
-1.874 -4.429 2.465
0.924 -4.877 -2.137
3.432 -3.404 2.418
Re Er Np
4 1 1
Direct
0.625 0.625 0.124
0.625 0.625 0.625
0.124 0.625 0.625
0.625 0.124 0.625
0.000 0.000 0.000
0.250 0.250 0.250

***

Entry 2:
PBE ErNpRh2, optimized geometry; calculated volume = 19.73 Å³/atom; E above lowest polymorph = 0 meV per atom; SG = P4/mmm
1.0
-2.775 0.241 1.899
-1.123 -4.586 -1.061
2.507 -1.506 3.855
Er Rh Np
1 2 1
Direct
0.500 0.500 0.500
0.000 0.000 0.500
0.000 0.500 0.000
0.500 0.000 0.000

***

Entry 3:
PBE ErNpRh2, optimized geometry; calculated volume = 21.75 Å³/atom; E above lowest polymorph = 127 meV per atom; SG = R-3m
1.0
3.969 0.000 0.000
1.984 3.437 0.000
1.984 1.146 6.378
Rh Er Np
2 1 1
Direct
0.743 0.743 0.772
0.257 0.257 0.228
0.500 0.500 0.500
0.000 0.000 0.000

***

| no. | calculated formation energy (meV/atom) | total DFT energy (no corrections) (eV per atom) |
| --- | --- | --- |
| 1 | 15 | -11.201 |
| 2 | -546 | -8.598 |
| 3 | -419 | -8.471 |